## P
# PaMnB2 PBE-GGA optimized geometry
# Magnetic moment, μB per atom: 0.000
# Volume, Å³ per cell: 147.8
# D(E_F), states/eV/f.u.: 4.92
data_PaMnB2
_chemical_formula_sum 'Pa3 Mn3 B6'
_cell_length_a 3.5544
_cell_length_b 3.5544
_cell_length_c 13.5088
_cell_angle_alpha 90.00
_cell_angle_beta 90.00
_cell_angle_gamma 120.00
_space_group_name_H-M_alt 'R -3 m'
_space_group_IT_number 166
_space_group_name_Hall '-R 3 2"'
loop_
_atom_site_label
_atom_site_type_symbol
_atom_site_fract_x
_atom_site_fract_y
_atom_site_fract_z
_atom_site_occupancy
Pa1 Pa 0.0000 0.0000 0.0000 1
Mn1 Mn 0.0000 0.0000 0.5000 1
B1 B 0.0000 0.0000 0.1995 1


## Q
# PaMnB2 PBE-GGA optimized geometry
# Magnetic moment, μB per atom: 0.000
# Volume, Å³ per cell: 209.7
# D(E_F), states/eV/f.u.: 3.87
data_PaMnB2
_chemical_formula_sum 'Pa4 Mn4 B8'
_cell_length_a 4.631
_cell_length_b 9.376
_cell_length_c 4.830
_cell_angle_alpha 90.00
_cell_angle_beta 90.00
_cell_angle_gamma 90.00
_space_group_name_H-M_alt 'C m c m'
_space_group_IT_number 63
_space_group_name_Hall '-C 2c 2'
loop_
_atom_site_label
_atom_site_type_symbol
_atom_site_fract_x
_atom_site_fract_y
_atom_site_fract_z
_atom_site_occupancy
Pa1 Pa 0.000 0.167 0.250 1
Mn1 Mn 0.000 0.500 0.000 1
B1 B 0.181 0.094 0.750 1


Which of them is most stable? Easy: Q.


## P
# PaMnB4 PBE-GGA optimized geometry
# Magnetic moment, μB per atom: 0.000
# Volume, Å³ per cell: 235.9
# D(E_F), states/eV/f.u.: 3.06
data_PaMnB4
_chemical_formula_sum 'Pa4 Mn4 B16'
_cell_length_a 5.898
_cell_length_b 11.437
_cell_length_c 3.498
_cell_angle_alpha 90.00
_cell_angle_beta 90.00
_cell_angle_gamma 90.00
_space_group_name_H-M_alt 'P b a m'
_space_group_IT_number 55
loop_
_space_group_symop_operation_xyz
'x,y,z'
'-x,-y,-z'
'-x,-y,z'
'x,y,-z'
'x+1/2,-y+1/2,-z'
'-x+1/2,y+1/2,z'
'-x+1/2,y+1/2,-z'
'x+1/2,-y+1/2,z'
loop_
_atom_site_label
_atom_site_type_symbol
_atom_site_fract_x
_atom_site_fract_y
_atom_site_fract_z
_atom_site_occupancy
Pa1 Pa 0.127 0.150 0.000 1
Mn1 Mn 0.134 0.409 0.000 1
B1 B 0.026 0.690 0.500 1
B2 B 0.111 0.545 0.500 1
B3 B 0.139 0.967 0.500 1
B4 B 0.217 0.815 0.500 1


## Q
# PaMnB4 PBE-GGA optimized geometry
# Magnetic moment, μB per atom: 0.244
# Volume, Å³ per cell: 260.9
# D(E_F), states/eV/f.u.: 6.10
data_PaMnB4
_chemical_formula_sum 'Pa4 Mn4 B16'
_cell_length_a 6.390
_cell_length_b 6.390
_cell_length_c 6.390
_cell_angle_alpha 90.00
_cell_angle_beta 90.00
_cell_angle_gamma 90.00
_space_group_name_H-M_alt 'F -4 3 m'
_space_group_IT_number 216
_space_group_name_Hall 'F -4 2 3'
loop_
_atom_site_label
_atom_site_type_symbol
_atom_site_fract_x
_atom_site_fract_y
_atom_site_fract_z
_atom_site_occupancy
Pa1 Pa 0.000 0.000 0.000 1
Mn1 Mn 0.250 0.250 0.750 1
B1 B 0.097 0.097 0.403 1


Which of them is most stable? Easy: P.


## P
# MnBPb2 PBE-GGA optimized geometry
# Magnetic moment, μB per atom: 0.000
# Volume, Å³ per cell: 304.4
# D(E_F), states/eV/f.u.: 13.81
data_MnBPb2
_chemical_formula_sum 'Mn4 B4 Pb8'
_cell_length_a 6.727
_cell_length_b 6.727
_cell_length_c 6.727
_cell_angle_alpha 90.00
_cell_angle_beta 90.00
_cell_angle_gamma 90.00
_space_group_name_H-M_alt 'F m -3 m'
_space_group_IT_number 225
_space_group_name_Hall '-F 4 2 3'
loop_
_atom_site_label
_atom_site_type_symbol
_atom_site_fract_x
_atom_site_fract_y
_atom_site_fract_z
_atom_site_occupancy
Mn1 Mn 0.000 0.000 0.000 1
B1 B 0.000 0.000 0.500 1
Pb1 Pb 0.250 0.250 0.250 1


## Q
# MnBPb2 PBE-GGA optimized geometry
# Magnetic moment, μB per atom: 1.000
# Volume, Å³ per cell: 343.3
# D(E_F), states/eV/f.u.: 1.82
data_MnBPb2
_chemical_formula_sum 'Mn4 B4 Pb8'
_cell_length_a 7.206
_cell_length_b 7.206
_cell_length_c 6.611
_cell_angle_alpha 90.00
_cell_angle_beta 90.00
_cell_angle_gamma 90.00
_space_group_name_H-M_alt 'I -4 2 d'
_space_group_IT_number 122
_space_group_name_Hall 'I -4 2bw'
loop_
_atom_site_label
_atom_site_type_symbol
_atom_site_fract_x
_atom_site_fract_y
_atom_site_fract_z
_atom_site_occupancy
Mn1 Mn 0.000 0.000 0.000 1
B1 B 0.000 0.000 0.500 1
Pb1 Pb 0.197 0.250 0.625 1


Which of them is most stable? Easy: Q.